(1)
PBE-GGA LiCeNiHg, optimized geometry; ΔE_f = -0.1815 eV/atom
1.0
4.713 0.000 0.000
2.356 4.081 0.000
2.356 1.360 3.848
Ni Hg Ce Li
1 1 1 1
Direct
0.250 0.250 0.250 Ni
0.500 0.500 0.500 Hg
0.000 0.000 0.000 Ce
0.750 0.750 0.750 Li


(2)
PBE-GGA LiCe2PmHg4, optimized geometry; ΔE_f = -0.3434 eV/atom
1.0
-4.594 2.486 0.779
-3.750 -0.158 -3.714
-6.080 -6.460 2.659
Li Ce Pm Hg
1 2 1 4
Direct
0.500 0.500 0.500 Li
0.753 0.753 0.741 Ce
0.247 0.247 0.259 Ce
0.000 0.000 0.000 Pm
0.379 0.379 0.864 Hg
0.873 0.873 0.380 Hg
0.127 0.127 0.620 Hg
0.621 0.621 0.136 Hg


(3)
PBE-GGA LiCePm2Hg4, optimized geometry; ΔE_f = -0.3962 eV/atom
1.0
-3.082 -0.038 -4.249
-1.023 -4.523 -2.460
-8.432 -2.716 2.900
Li Ce Pm Hg
1 1 2 4
Direct
0.500 0.500 0.500 Li
0.000 0.000 0.000 Ce
0.755 0.755 0.734 Pm
0.245 0.245 0.266 Pm
0.379 0.379 0.863 Hg
0.874 0.874 0.379 Hg
0.126 0.126 0.621 Hg
0.621 0.621 0.137 Hg


(4)
PBE-GGA LiCePmHg, optimized geometry; ΔE_f = -0.0130 eV/atom
1.0
5.210 0.000 0.000
2.605 4.512 0.000
2.605 1.504 4.254
Li Hg Ce Pm
1 1 1 1
Direct
0.000 0.000 0.000 Li
0.250 0.250 0.250 Hg
0.500 0.500 0.500 Ce
0.750 0.750 0.750 Pm


(5)
PBE-GGA LiCePr2Hg4, optimized geometry; ΔE_f = -0.3928 eV/atom
1.0
5.304 0.000 0.000
2.652 4.594 0.000
2.652 1.531 8.868
Li Ce Pr Hg
1 1 2 4
Direct
0.500 0.500 0.500 Li
0.000 0.000 0.000 Ce
0.755 0.755 0.734 Pr
0.245 0.245 0.266 Pr
0.377 0.377 0.869 Hg
0.874 0.874 0.378 Hg
0.126 0.126 0.622 Hg
0.623 0.623 0.131 Hg


(6)
PBE-GGA Li2CePrHg4, optimized geometry; ΔE_f = -0.4026 eV/atom
1.0
-3.578 -3.005 -2.194
0.075 -5.101 0.790
-6.137 -1.726 6.300
Li Ce Pr Hg
2 1 1 4
Direct
0.749 0.749 0.752 Li
0.251 0.251 0.248 Li
0.000 0.000 0.000 Ce
0.500 0.500 0.500 Pr
0.374 0.374 0.877 Hg
0.876 0.876 0.371 Hg
0.124 0.124 0.629 Hg
0.626 0.626 0.123 Hg


(7)
PBE-GGA Li2CePuHg4, optimized geometry; ΔE_f = -0.2548 eV/atom
1.0
-3.882 -3.275 -0.715
-2.234 -2.248 4.032
-7.543 4.570 1.630
Li Ce Pu Hg
2 1 1 4
Direct
0.750 0.750 0.749 Li
0.250 0.250 0.251 Li
0.000 0.000 0.000 Ce
0.500 0.500 0.500 Pu
0.377 0.377 0.870 Hg
0.875 0.875 0.374 Hg
0.125 0.125 0.626 Hg
0.623 0.623 0.130 Hg


(8)
PBE-GGA LiCeHgSb, optimized geometry; ΔE_f (raw) = -0.5549 eV per atom
1.0
5.226 0.000 0.000
2.613 4.526 0.000
2.613 1.509 4.267
Sb Hg Ce Li
1 1 1 1
Direct
0.000 0.000 0.000 Sb
0.500 0.500 0.500 Hg
0.250 0.250 0.250 Ce
0.750 0.750 0.750 Li


| no. | raw total energy (eV per atom) |
| --- | --- |
| 1 | -3.664 |
| 2 | -2.811 |
| 3 | -2.716 |
| 4 | -3.238 |
| 5 | -2.720 |
| 6 | -2.371 |
| 7 | -3.417 |
| 8 | -3.623 |